Density functional theory data (GGA-PBE) for a relaxed structure of Sm2BiBr.

Cell: 4.3160 4.3160 23.3302 Å, 90.00 90.00 120.00°
Space group R3m (No. 160, hexagonal axes)
Asymmetric unit:
Sm (0.0000, 0.0000, 0.0000)
Sm (0.0000, 0.0000, 0.1747)
Bi (0.0000, 0.0000, 0.5863)
Br (0.0000, 0.0000, 0.7556)

Computed properties:
**E_tot**: -55.930 eV/cell
**Crystal system**: trigonal
**Formation energy (no corrections)**: -88.07 kJ/mol of atoms

=====

Density functional theory data (GGA-PBE) for a relaxed structure of Tm5PaBi6.

Cell: 7.685 13.316 7.683 Å, 90.00 109.48 90.00°
Space group C2/m (No. 12)
Asymmetric unit:
Tm (0.000, 0.000, 0.000)
Tm (0.000, 0.167, 0.500)
Tm (0.000, 0.334, 0.000)
Pa (0.000, 0.500, 0.500)
Bi (0.248, 0.000, 0.750)
Bi (0.249, 0.167, 0.248)

Computed properties:
**ΔE_f**: -757 kJ/mol of formula units
**E_tot**: -125.976 eV/cell
**Crystal system**: monoclinic